(1)
Density functional theory data (PBE) for a relaxed structure of HgRh2.

a b c (Å): 4.567 2.815 16.580
angles (deg): 90.00 90.00 90.00
Atoms (fractional coordinates):
Hg  0.500  0.750  0.121
Hg  0.000  0.750  0.379
Hg  0.000  0.250  0.621
Hg  0.500  0.250  0.879
Rh  0.500  0.750  0.564
Rh  0.000  0.250  0.064
Rh  0.000  0.750  0.936
Rh  0.500  0.250  0.436
Rh  0.500  0.750  0.718
Rh  0.500  0.250  0.282
Rh  0.000  0.250  0.218
Rh  0.000  0.750  0.782

Calculated values
The calculated formation energy is 0.37 eV per atom. The value obtained for the density of states at the Fermi level is 19.8 states/eV/cell. As for the space group: No. 74.



(2)
Density functional theory data (PBE) for a relaxed structure of Tl3Hg4Pb4.

a b c (Å): 5.458 6.502 10.181
angles (deg): 90.00 90.00 114.82
Atoms (fractional coordinates):
Tl  0.260  0.520  0.000
Tl  0.398  0.797  0.697
Tl  0.398  0.797  0.303
Hg  0.939  0.878  0.000
Hg  0.757  0.514  0.217
Hg  0.757  0.514  0.783
Hg  0.903  0.807  0.500
Pb  0.097  0.194  0.278
Pb  0.097  0.194  0.722
Pb  0.560  0.121  0.000
Pb  0.631  0.263  0.500

Calculated values
The calculated formation energy is 0.04 eV per atom. The value obtained for the density of states at the Fermi level is 5.1 states/eV/cell. As for the space group: No. 38.



(3)
Density functional theory data (PBE) for a relaxed structure of Fe3Ni6Pt.

a b c (Å): 6.922 4.758 4.758
angles (deg): 60.17 67.12 67.12
Each line ends with the local moment (μB).
Atoms (fractional coordinates):
Ni  0.934  0.356  0.356  0.63
Ni  0.696  0.931  0.447  0.73
Ni  0.696  0.447  0.931  0.73
Ni  0.066  0.644  0.644  0.63
Ni  0.304  0.553  0.069  0.73
Ni  0.304  0.069  0.553  0.73
Fe  0.700  0.937  0.937  2.80
Fe  0.300  0.063  0.063  2.80
Fe  0.000  0.000  0.000  2.75
Pt  0.500  0.500  0.500  0.34

Calculated values
The calculated formation energy is 0.09 eV per atom. The value obtained for the density of states at the Fermi level is 10.5 states/eV/cell. As for the space group: No. 12. The calculation puts the energy above the lowest structure with this stoichiometry at 158 meV/atom.



- What is the calculated formation energy in the third record?
  0.09 eV per atom